A relaxed Tb3Y3Ni2 crystal, computed with PBE.

Cell lengths 3.6394, 6.7932, 18.4146 Å; angles 90.00, 90.00, 105.54 degrees
Element x y z (fractional)
Tb1 0.6745 0.3490 0.4393
Tb2 0.3255 0.6510 0.9393
Tb3 0.6745 0.3490 0.0607
Tb4 0.3255 0.6510 0.5607
Tb5 0.4293 0.8586 0.2500
Tb6 0.5707 0.1414 0.7500
Y1 0.9381 0.8763 0.4123
Y2 0.0619 0.1237 0.9123
Y3 0.9381 0.8763 0.0877
Y4 0.0619 0.1237 0.5877
Y5 0.7057 0.4115 0.2500
Y6 0.2943 0.5885 0.7500
Ni1 0.7098 0.4195 0.8609
Ni2 0.2902 0.5805 0.3609
Ni3 0.7098 0.4195 0.6391
Ni4 0.2902 0.5805 0.1391

space group	Cmcm, No. 63


A relaxed TbY4Ni2 crystal, computed with PBE.

Cell lengths 6.4325, 7.5135, 7.9857 Å; angles 112.47, 90.00, 90.00 degrees
Element x y z (fractional)
Tb1 0.2500 0.8512 0.9717
Tb2 0.7500 0.1488 0.0283
Y1 0.5046 0.4080 0.7688
Y2 0.2500 0.2498 0.3450
Y3 0.7500 0.7502 0.6550
Y4 0.9954 0.4080 0.7688
Y5 0.7500 0.0278 0.3868
Y6 0.0046 0.5920 0.2312
Y7 0.4954 0.5920 0.2312
Y8 0.2500 0.9722 0.6132
Ni1 0.2500 0.2539 0.9934
Ni2 0.7500 0.7461 0.0066
Ni3 0.7500 0.3830 0.4102
Ni4 0.2500 0.6170 0.5898

space group	P2_1/m, No. 11


A relaxed Tb2Y3Ni2 crystal, computed with PBE.

Cell lengths 3.6065, 6.3641, 9.0279 Å; angles 114.82, 90.00, 106.46 degrees
Element x y z (fractional)
Tb1 0.8308 0.6616 0.1894
Tb2 0.1692 0.3384 0.8106
Y1 0.5000 0.0000 0.0000
Y2 0.6146 0.2291 0.4307
Y3 0.3854 0.7709 0.5693
Ni1 0.8256 0.6512 0.7623
Ni2 0.1744 0.3488 0.2377

space group	C2/m, No. 12


A relaxed TbY3Ni8 crystal, computed with PBE.

Cell lengths 5.0791, 5.0791, 8.8166 Å; angles 73.26, 73.26, 60.00 degrees
Element x y z (fractional)
Tb1 0.8750 0.8750 0.3750
Y1 0.3751 0.3751 0.8748
Y2 0.9998 0.9998 0.0005
Y3 0.5000 0.5000 0.5000
Ni1 0.9376 0.4374 0.1875
Ni2 0.4376 0.9375 0.6875
Ni3 0.4374 0.4374 0.1875
Ni4 0.9375 0.9375 0.6875
Ni5 0.1875 0.1875 0.4374
Ni6 0.6875 0.6875 0.9374
Ni7 0.4374 0.9376 0.1875
Ni8 0.9375 0.4376 0.6875

space group	R3m, No. 160


A relaxed TbY3Ni crystal, computed with PBE.

Cell lengths 7.2180, 7.2180, 7.2015 Å; angles 108.91, 111.83, 107.80 degrees
Element x y z (fractional)
Tb1 0.7104 0.0493 0.7596
Tb2 0.2896 0.9507 0.2404
Y1 0.8382 0.0468 0.2860
Y2 0.2393 0.4478 0.2860
Y3 0.7607 0.5522 0.7140
Y4 0.7121 0.4511 0.1632
Y5 0.1618 0.9532 0.7140
Y6 0.2879 0.5489 0.8368
Ni1 0.6223 0.7514 0.3737
Ni2 0.3777 0.2486 0.6263

ΔE to the lowest computed polymorph	0.048	eV/atom
space group	C2/m, No. 12


A relaxed TbY6Ni2 crystal, computed with PBE.

Cell lengths 8.6006, 8.6006, 8.6006 Å; angles 106.08, 112.04, 110.36 degrees
Element x y z (fractional)
Tb1 0.0000 0.5000 0.5000
Tb2 0.0000 0.0000 0.0000
Y1 0.5248 0.8148 0.7099
Y2 0.4752 0.1852 0.2901
Y3 0.1049 0.8148 0.2901
Y4 0.8951 0.1852 0.7099
Y5 0.7913 0.0348 0.2435
Y6 0.2087 0.9652 0.7565
Y7 0.2087 0.4522 0.2435
Y8 0.7913 0.5478 0.7565
Y9 0.6885 0.3207 0.0091
Y10 0.3115 0.6793 0.9909
Y11 0.3115 0.3207 0.6322
Y12 0.6885 0.6793 0.3678
Ni1 0.5000 0.1192 0.6192
Ni2 0.5000 0.8808 0.3808
Ni3 0.6951 0.6951 0.0000
Ni4 0.3049 0.3049 0.0000

space group	Immm, No. 71


A relaxed Tb2ZnNi2 crystal, computed with PBE.

Cell lengths 5.4102, 5.4102, 7.7251 Å; angles 76.75, 76.75, 59.26 degrees
Element x y z (fractional)
Tb1 0.5056 0.2010 0.1468
Tb2 0.7990 0.4944 0.3532
Tb3 0.4944 0.7990 0.8532
Tb4 0.2010 0.5056 0.6468
Zn1 0.1519 0.8481 0.2500
Zn2 0.8481 0.1519 0.7500
Ni1 0.7199 0.0018 0.5048
Ni2 0.9982 0.2801 0.9952
Ni3 0.2801 0.9982 0.4952
Ni4 0.0018 0.7199 0.0048

space group	C2/c, No. 15


A relaxed TbZn2Ni crystal, computed with PBE.

Cell lengths 3.1818, 3.1818, 6.7373 Å; angles 90.00, 90.00, 90.00 degrees
Element x y z (fractional)
Ni1 0.5000 0.5000 0.0000
Zn1 0.0000 0.0000 0.8121
Zn2 0.0000 0.0000 0.1879
Tb1 0.5000 0.5000 0.5000

space group	P4/mmm, No. 123


A relaxed Tb8ZnNi2 crystal, computed with PBE.

Cell lengths 5.0634, 6.7064, 9.1723 Å; angles 107.70, 106.02, 90.00 degrees
Element x y z (fractional)
Tb1 0.4053 0.5255 0.8106
Tb2 0.6778 0.9962 0.3555
Tb3 0.8023 0.6619 0.6047
Tb4 0.9651 0.2157 0.9303
Tb5 0.1977 0.3381 0.3953
Tb6 0.3222 0.0038 0.6445
Tb7 0.5947 0.4745 0.1894
Tb8 0.0349 0.7843 0.0697
Zn1 0.5000 0.0000 0.0000
Ni1 0.8243 0.2787 0.6487
Ni2 0.1757 0.7213 0.3513

ΔE to the lowest computed polymorph	0.000	eV/atom
space group	C2/m, No. 12


A relaxed TbZn12Ni7 crystal, computed with PBE.

Cell lengths 7.5632, 7.5632, 7.5632 Å; angles 109.47, 109.47, 109.47 degrees
Element x y z (fractional)
Tb1 0.0000 0.0000 0.0000
Zn1 0.3450 0.2386 0.5836
Zn2 0.3450 0.7614 0.1065
Zn3 0.6550 0.7614 0.4164
Zn4 0.6550 0.2386 0.8935
Zn5 0.5836 0.3450 0.2386
Zn6 0.8935 0.6550 0.2386
Zn7 0.4164 0.6550 0.7614
Zn8 0.1065 0.3450 0.7614
Zn9 0.7614 0.1065 0.3450
Zn10 0.2386 0.8935 0.6550
Zn11 0.2386 0.5836 0.3450
Zn12 0.7614 0.4164 0.6550
Ni1 0.5000 0.0000 0.5000
Ni2 0.5000 0.5000 0.0000
Ni3 0.0000 0.5000 0.5000
Ni4 0.0000 0.0000 0.5000
Ni5 0.5000 0.0000 0.0000
Ni6 0.5000 0.5000 0.5000
Ni7 0.0000 0.5000 0.0000

space group	Im-3, No. 204


A relaxed TbZn2Ni9 crystal, computed with PBE.

Cell lengths 4.7358, 8.0580, 8.0580 Å; angles 90.00, 90.00, 90.00 degrees
Element x y z (fractional)
Tb1 0.0000 0.5000 0.5000
Tb2 0.0000 0.0000 0.0000
Zn1 0.0000 0.6179 0.1179
Zn2 0.0000 0.3821 0.8821
Zn3 0.0000 0.1179 0.3821
Zn4 0.0000 0.8821 0.6179
Ni1 0.5000 0.5000 0.0000
Ni2 0.5000 0.0000 0.5000
Ni3 0.5000 0.7095 0.5639
Ni4 0.5000 0.2905 0.4361
Ni5 0.5000 0.2095 0.9361
Ni6 0.5000 0.7905 0.0639
Ni7 0.5000 0.4361 0.7095
Ni8 0.5000 0.5639 0.2905
Ni9 0.5000 0.0639 0.2095
Ni10 0.5000 0.9361 0.7905
Ni11 0.7577 0.8214 0.3214
Ni12 0.7577 0.1786 0.6786
Ni13 0.7577 0.3214 0.1786
Ni14 0.7577 0.6786 0.8214
Ni15 0.2423 0.1786 0.6786
Ni16 0.2423 0.8214 0.3214
Ni17 0.2423 0.6786 0.8214
Ni18 0.2423 0.3214 0.1786

ΔE to the lowest computed polymorph	0.000	eV/atom
space group	P4/mbm, No. 127


A relaxed TbZn8Ni2 crystal, computed with PBE.

Cell lengths 6.2628, 6.2628, 5.1125 Å; angles 90.00, 90.00, 90.00 degrees
Element x y z (fractional)
Tb1 0.5000 0.5000 0.5000
Zn1 0.7907 0.7907 0.2440
Zn2 0.7907 0.2093 0.7560
Zn3 0.7907 0.7907 0.7560
Zn4 0.7907 0.2093 0.2440
Zn5 0.2093 0.7907 0.2440
Zn6 0.2093 0.7907 0.7560
Zn7 0.2093 0.2093 0.2440
Zn8 0.2093 0.2093 0.7560
Ni1 0.5000 0.0000 0.0000
Ni2 0.0000 0.5000 0.0000

space group	P4/mmm, No. 123


A relaxed TbZn6Ni6 crystal, computed with PBE.

Cell lengths 4.9510, 6.4870, 6.4870 Å; angles 79.93, 67.57, 67.57 degrees
Element x y z (fractional)
Tb1 0.0000 0.0000 0.0000
Zn1 0.3506 0.6494 0.6494
Zn2 0.6494 0.3506 0.3506
Zn3 0.0000 0.3428 0.6572
Zn4 0.0000 0.6572 0.3428
Zn5 0.2985 0.2015 0.2015
Zn6 0.7015 0.7985 0.7985
Ni1 0.0000 0.5000 0.0000
Ni2 0.5000 0.5000 0.0000
Ni3 0.0000 0.0000 0.5000
Ni4 0.5000 0.0000 0.5000
Ni5 0.5000 0.7701 0.2299
Ni6 0.5000 0.2299 0.7701

space group	Immm, No. 71


A relaxed Tb4ZnNi3 crystal, computed with PBE.

Cell lengths 3.7245, 4.3433, 10.4240 Å; angles 90.00, 90.00, 90.00 degrees
Element x y z (fractional)
Ni1 0.0000 0.5000 0.5735
Ni2 0.0000 0.0000 0.4298
Ni3 0.5000 0.0000 0.9298
Zn1 0.5000 0.5000 0.0690
Tb1 0.5000 0.5000 0.3700
Tb2 0.0000 0.5000 0.8485
Tb3 0.0000 0.0000 0.1441
Tb4 0.5000 0.0000 0.6354

space group	Pmm2, No. 25


A relaxed Tb2Zn16Ni crystal, computed with PBE.

Cell lengths 6.7643, 6.7643, 6.7643 Å; angles 82.69, 82.69, 82.69 degrees
Element x y z (fractional)
Tb1 0.6694 0.6694 0.6694
Tb2 0.3368 0.3368 0.3368
Zn1 0.7086 0.9989 0.2896
Zn2 0.9989 0.2896 0.7086
Zn3 0.2896 0.7086 0.9989
Zn4 0.9989 0.7086 0.2896
Zn5 0.7086 0.2896 0.9989
Zn6 0.2896 0.9989 0.7086
Zn7 0.3547 0.8390 0.3547
Zn8 0.8390 0.3547 0.3547
Zn9 0.3547 0.3547 0.8390
Zn10 0.6499 0.1554 0.6499
Zn11 0.1554 0.6499 0.6499
Zn12 0.6499 0.6499 0.1554
Zn13 0.9941 0.5103 0.9941
Zn14 0.5103 0.9941 0.9941
Zn15 0.9941 0.9941 0.5103
Zn16 0.0968 0.0968 0.0968
Ni1 0.9006 0.9006 0.9006

space group	R3m, No. 160


A relaxed Tb2Zn5Ni5 crystal, computed with PBE.

Cell lengths 4.0698, 5.1167, 8.7846 Å; angles 90.00, 90.00, 90.00 degrees
Element x y z (fractional)
Tb1 0.0000 0.5000 0.0000
Tb2 0.0000 0.0000 0.5000
Zn1 0.5000 0.5000 0.5000
Zn2 0.5000 0.7520 0.2440
Zn3 0.5000 0.2480 0.7560
Zn4 0.5000 0.2480 0.2440
Zn5 0.5000 0.7520 0.7560
Ni1 0.0000 0.5000 0.3328
Ni2 0.0000 0.0000 0.8391
Ni3 0.0000 0.0000 0.1609
Ni4 0.0000 0.5000 0.6672
Ni5 0.5000 0.0000 0.0000

ΔE to the lowest computed polymorph	0.000	eV/atom
space group	Pmmm, No. 47


A relaxed Tb6ZnNi2 crystal, computed with PBE.

Cell lengths 8.3469, 8.3469, 8.3469 Å; angles 106.33, 109.63, 112.51 degrees
Element x y z (fractional)
Tb1 0.5361 0.7157 0.8203
Tb2 0.4639 0.2843 0.1797
Tb3 0.1046 0.2843 0.8203
Tb4 0.8954 0.7157 0.1797
Tb5 0.8078 0.7629 0.5707
Tb6 0.1922 0.2371 0.4293
Tb7 0.1922 0.7629 0.9551
Tb8 0.8078 0.2371 0.0449
Tb9 0.6918 0.3661 0.6743
Tb10 0.3082 0.6339 0.3257
Tb11 0.3082 0.9825 0.6743
Tb12 0.6918 0.0175 0.3257
Zn1 0.0000 0.5000 0.5000
Zn2 0.0000 0.0000 0.0000
Ni1 0.5000 0.3792 0.8792
Ni2 0.5000 0.6208 0.1208
Ni3 0.6537 0.0000 0.6537
Ni4 0.3463 0.0000 0.3463

space group	Immm, No. 71


A relaxed TbZn2Ni crystal, computed with PBE.

Cell lengths 4.1472, 4.1472, 5.4479 Å; angles 67.63, 67.63, 60.00 degrees
Element x y z (fractional)
Ni1 0.5000 0.5000 0.5000
Zn1 0.7910 0.7910 0.6269
Zn2 0.2090 0.2090 0.3731
Tb1 0.0000 0.0000 0.0000

space group	R-3m, No. 166


A relaxed Tb2ZnNi3 crystal, computed with PBE.

Cell lengths 4.1249, 4.1249, 14.7345 Å; angles 90.00, 90.00, 120.00 degrees
Element x y z (fractional)
Tb1 0.0000 0.0000 0.6204
Tb2 0.0000 0.0000 0.3796
Tb3 0.0000 0.0000 0.1204
Tb4 0.0000 0.0000 0.8796
Zn1 0.6667 0.3333 0.7500
Zn2 0.3333 0.6667 0.2500
Ni1 0.6667 0.3333 0.2500
Ni2 0.3333 0.6667 0.7500
Ni3 0.6667 0.3333 0.5006
Ni4 0.3333 0.6667 0.4994
Ni5 0.3333 0.6667 0.0006
Ni6 0.6667 0.3333 0.9994

space group	P6_3/mmc, No. 194


no.,DFT formation energy (eV/atom)
1,-0.147
2,-0.134
3,-0.241
4,-0.422
5,-0.116
6,-0.112
7,-0.446
8,-0.200
9,-0.197
10,0.156
11,-0.226
12,0.113
13,-0.300
14,-0.401
15,-0.241
16,-0.392
17,-0.279
18,-0.287
19,-0.376